Material: BSe3I
Method: DFT, PBE
State: optimized geometry

a b c (Å): 4.6359 4.6359 4.6359
angles (deg): 90.00 90.00 90.00
With the nearest neighbours (Å) after each atom.
Fractional coordinates of all 5 atoms:
1 B 0.0000 0.0000 0.0000  6 Se 2.32
2 Se 0.0000 0.0000 0.5000  2 B 2.32
3 Se 0.0000 0.5000 0.0000  2 B 2.32
4 Se 0.5000 0.0000 0.0000  2 B 2.32
5 I 0.5000 0.5000 0.5000  12 Se 3.28

Output
- D(E_F) (states/eV per atom) = 0.84
- magnetic moment (μB per cell) = 0.00
- SG = Pm-3m (221)
- E_form (uncorrected) (eV/atom) = 0.783
- excess energy over the best structure of this formula in the dataset (eV per formula unit) = 3.98


Material: BSe3I
Method: DFT, PBE
State: optimized geometry

a b c (Å): 5.4166 5.4166 5.4166
angles (deg): 90.00 90.00 90.00
With the nearest neighbours (Å) after each atom.
Fractional coordinates of all 5 atoms:
1 B 0.0000 0.0000 0.0000  12 Se 3.83
2 Se 0.0000 0.5000 0.5000  2 I 2.71
3 Se 0.5000 0.0000 0.5000  2 I 2.71
4 Se 0.5000 0.5000 0.0000  2 I 2.71
5 I 0.5000 0.5000 0.5000  6 Se 2.71

Output
- D(E_F) (states/eV per atom) = 0.56
- magnetic moment (μB per cell) = 0.00
- SG = Pm-3m (221)
- E_form (uncorrected) (eV/atom) = 1.674
- excess energy over the best structure of this formula in the dataset (eV per formula unit) = 8.44


Material: Sm4BSeI2
Method: DFT, PBE
State: optimized geometry

a b c (Å): 7.2876 4.0980 7.9445
angles (deg): 90.00 107.31 90.00
With the nearest neighbours (Å) after each atom.
Fractional coordinates of all 8 atoms:
1 Sm 0.1997 0.0000 0.1819  2 B 2.67, 1 Se 2.96
2 Sm 0.2378 0.5000 0.8126  1 B 2.60, 2 Se 2.89
3 Sm 0.7622 0.5000 0.1874  1 B 2.60, 2 Se 2.89
4 Sm 0.8003 0.0000 0.8181  2 B 2.67, 1 Se 2.96
5 B 0.0000 0.5000 0.0000  6 Sm 2.60-2.67
6 Se 0.5000 0.0000 0.0000  6 Sm 2.89-2.96
7 I 0.0000 0.0000 0.5000  6 Sm 3.27-3.29
8 I 0.5000 0.5000 0.5000  6 Sm 3.48-3.56

Output
- D(E_F) (states/eV per atom) = 0.32
- magnetic moment (μB per cell) = 0.00
- SG = P2/m (10)
- E_form (uncorrected) (eV/atom) = -1.037


Material: BTeSeI2
Method: DFT, PBE
State: optimized geometry

a b c (Å): 5.6674 5.6674 5.6470
angles (deg): 90.00 90.00 90.00
With the nearest neighbours (Å) after each atom.
Fractional coordinates of all 5 atoms:
1 B 0.0000 0.0000 0.0000  8 I 4.00, 4 Te 4.01
2 Te 0.5000 0.5000 0.0000  2 Se 2.82
3 Se 0.5000 0.5000 0.5000  2 Te 2.82, 4 I 2.83
4 I 0.0000 0.5000 0.5000  2 Se 2.83
5 I 0.5000 0.0000 0.5000  2 Se 2.83

Output
- D(E_F) (states/eV per atom) = 0.94
- magnetic moment (μB per cell) = 0.00
- SG = P4/mmm (123)
- E_form (uncorrected) (eV/atom) = 1.258
- excess energy over the best structure of this formula in the dataset (eV per formula unit) = 1.76


Material: BTeSeI2
Method: DFT, PBE
State: optimized geometry

a b c (Å): 4.8004 4.8004 5.6182
angles (deg): 90.00 90.00 90.00
With the nearest neighbours (Å) after each atom.
Fractional coordinates of all 5 atoms:
1 B 0.0000 0.0000 0.0000  4 I 2.40
2 Te 0.0000 0.0000 0.5000  2 B 2.81
3 Se 0.5000 0.5000 0.5000  4 Te 3.39, 8 I 3.69
4 I 0.0000 0.5000 0.0000  2 B 2.40
5 I 0.5000 0.0000 0.0000  2 B 2.40

Output
- D(E_F) (states/eV per atom) = 1.04
- magnetic moment (μB per cell) = 0.00
- SG = P4/mmm (123)
- E_form (uncorrected) (eV/atom) = 0.906
- excess energy over the best structure of this formula in the dataset (eV per formula unit) = 0.00


Material: SiB2I
Method: DFT, PBE
State: optimized geometry

a b c (Å): 6.1239 6.1239 6.1239
angles (deg): 90.00 90.00 90.00
With the nearest neighbours (Å) after each atom.
Fractional coordinates of all 16 atoms:
1 Si 0.0000 0.0000 0.0000  8 B 2.65
2 Si 0.0000 0.5000 0.5000  8 B 2.65
3 Si 0.5000 0.0000 0.5000  8 B 2.65
4 Si 0.5000 0.5000 0.0000  8 B 2.65
5 B 0.2500 0.2500 0.2500  4 I 2.65, 4 Si 2.65
6 B 0.2500 0.2500 0.7500  4 I 2.65, 4 Si 2.65
7 B 0.2500 0.7500 0.2500  4 I 2.65, 4 Si 2.65
8 B 0.2500 0.7500 0.7500  4 I 2.65, 4 Si 2.65
9 B 0.7500 0.2500 0.2500  4 I 2.65, 4 Si 2.65
10 B 0.7500 0.2500 0.7500  4 I 2.65, 4 Si 2.65
11 B 0.7500 0.7500 0.2500  4 I 2.65, 4 Si 2.65
12 B 0.7500 0.7500 0.7500  4 I 2.65, 4 Si 2.65
13 I 0.0000 0.0000 0.5000  8 B 2.65
14 I 0.0000 0.5000 0.0000  8 B 2.65
15 I 0.5000 0.0000 0.0000  8 B 2.65
16 I 0.5000 0.5000 0.5000  8 B 2.65

Output
- D(E_F) (states/eV per atom) = 0.40
- magnetic moment (μB per cell) = 0.00
- SG = Fm-3m (225)
- E_form (uncorrected) (eV/atom) = 2.029
- excess energy over the best structure of this formula in the dataset (eV per formula unit) = 4.65


Material: SiBI
Method: DFT, PBE
State: optimized geometry

a b c (Å): 6.8922 8.1775 6.0054
angles (deg): 90.00 90.00 90.00
With the nearest neighbours (Å) after each atom.
Fractional coordinates of all 12 atoms:
1 Si 0.1253 0.0054 0.0000  3 B 1.99-2.01
2 Si 0.3747 0.0054 0.5000  3 B 1.99-2.01
3 Si 0.6253 0.9946 0.0000  3 B 1.99-2.01
4 Si 0.8747 0.9946 0.5000  3 B 1.99-2.01
5 B 0.1231 0.0188 0.6666  3 Si 1.99-2.01
6 B 0.3769 0.0188 0.1666  3 Si 1.99-2.01
7 B 0.6231 0.9812 0.6666  3 Si 1.99-2.01
8 B 0.8769 0.9812 0.1666  3 Si 1.99-2.01
9 I 0.0105 0.2936 0.5947  1 B 2.42, 1 Si 2.68
10 I 0.4895 0.2936 0.0947  1 B 2.42, 1 Si 2.68
11 I 0.5105 0.7064 0.5947  1 B 2.42, 1 Si 2.68
12 I 0.9895 0.7064 0.0947  1 B 2.42, 1 Si 2.68

Output
- magnetic moment (μB per cell) = 0.00
- SG = Pca2_1 (29)
- E_form (uncorrected) (eV/atom) = 0.161


Material: SiB2I
Method: DFT, PBE
State: optimized geometry

a b c (Å): 5.2663 5.2663 10.0138
angles (deg): 90.00 90.00 90.00
With the nearest neighbours (Å) after each atom.
Fractional coordinates of all 16 atoms:
1 Si 0.0000 0.0000 0.0000  4 B 2.01
2 Si 0.0000 0.5000 0.2500  4 B 2.01
3 Si 0.5000 0.0000 0.7500  4 B 2.01
4 Si 0.5000 0.5000 0.5000  4 B 2.01
5 B 0.1623 0.2500 0.1250  2 Si 2.01
6 B 0.2500 0.6623 0.3750  2 Si 2.01
7 B 0.2500 0.8377 0.8750  2 Si 2.01
8 B 0.3377 0.2500 0.6250  2 Si 2.01
9 B 0.6623 0.7500 0.6250  2 Si 2.01
10 B 0.7500 0.1623 0.8750  2 Si 2.01
11 B 0.7500 0.3377 0.3750  2 Si 2.01
12 B 0.8377 0.7500 0.1250  2 Si 2.01
13 I 0.0000 0.0000 0.5000  4 B 2.54
14 I 0.0000 0.5000 0.7500  4 B 2.54
15 I 0.5000 0.0000 0.2500  4 B 2.54
16 I 0.5000 0.5000 0.0000  4 B 2.54

Output
- D(E_F) (states/eV per atom) = 0.62
- magnetic moment (μB per cell) = 0.00
- SG = I-42d (122)
- E_form (uncorrected) (eV/atom) = 0.867
- excess energy over the best structure of this formula in the dataset (eV per formula unit) = 0.00


Material: SiBI3
Method: DFT, PBE
State: optimized geometry

a b c (Å): 5.1073 5.1073 5.1073
angles (deg): 90.00 90.00 90.00
With the nearest neighbours (Å) after each atom.
Fractional coordinates of all 5 atoms:
1 Si 0.0000 0.0000 0.0000  12 I 3.61
2 B 0.5000 0.5000 0.5000  6 I 2.55
3 I 0.0000 0.5000 0.5000  2 B 2.55
4 I 0.5000 0.0000 0.5000  2 B 2.55
5 I 0.5000 0.5000 0.0000  2 B 2.55

Output
- D(E_F) (states/eV per atom) = 0.35
- magnetic moment (μB per cell) = 0.00
- SG = Pm-3m (221)
- E_form (uncorrected) (eV/atom) = 0.986
- excess energy over the best structure of this formula in the dataset (eV per formula unit) = 0.00


Material: Sr2SiBI
Method: DFT, PBE
State: optimized geometry

a b c (Å): 6.0386 6.0386 3.8795
angles (deg): 90.00 90.00 90.00
With the nearest neighbours (Å) after each atom.
Fractional coordinates of all 5 atoms:
1 Sr 0.0000 0.5000 0.0000  2 Si 3.02
2 Sr 0.5000 0.0000 0.0000  2 Si 3.02
3 Si 0.0000 0.0000 0.0000  2 B 1.94
4 B 0.0000 0.0000 0.5000  2 Si 1.94
5 I 0.5000 0.5000 0.5000  8 Sr 3.59, 2 I 3.88

Output
- D(E_F) (states/eV per atom) = 0.63
- magnetic moment (μB per cell) = 0.00
- SG = P4/mmm (123)
- E_form (uncorrected) (eV/atom) = -0.207


Material: SrSiBI2
Method: DFT, PBE
State: optimized geometry

a b c (Å): 6.0004 6.0004 3.8244
angles (deg): 90.00 90.00 90.00
With the nearest neighbours (Å) after each atom.
Fractional coordinates of all 5 atoms:
1 Sr 0.0000 0.0000 0.0000  8 I 3.56, 2 Sr 3.82
2 Si 0.5000 0.5000 0.5000  2 B 1.91
3 B 0.5000 0.5000 0.0000  2 Si 1.91
4 I 0.0000 0.5000 0.5000  2 Si 3.00
5 I 0.5000 0.0000 0.5000  2 Si 3.00

Output
- D(E_F) (states/eV per atom) = 0.69
- magnetic moment (μB per cell) = 0.00
- SG = P4/mmm (123)
- E_form (uncorrected) (eV/atom) = 0.076


Material: TlSiB2I
Method: DFT, PBE
State: optimized geometry

a b c (Å): 4.4706 4.4706 6.5936
angles (deg): 90.00 90.00 90.00
With the nearest neighbours (Å) after each atom.
Fractional coordinates of all 5 atoms:
1 Tl 0.0000 0.0000 0.0000  4 B 2.24
2 Si 0.5000 0.5000 0.5000  4 I 3.16
3 B 0.0000 0.5000 0.0000  2 Tl 2.24
4 B 0.5000 0.0000 0.0000  2 Tl 2.24
5 I 0.0000 0.0000 0.5000  4 Si 3.16, 2 Tl 3.30

Output
- D(E_F) (states/eV per atom) = 0.37
- magnetic moment (μB per cell) = 0.00
- SG = P4/mmm (123)
- E_form (uncorrected) (eV/atom) = 2.035


Material: YSi2BI
Method: DFT, PBE
State: optimized geometry

a b c (Å): 5.2669 5.2669 4.3400
angles (deg): 90.00 90.00 90.00
With the nearest neighbours (Å) after each atom.
Fractional coordinates of all 5 atoms:
1 Y 0.0000 0.0000 0.0000  8 Si 3.41, 4 B 3.72
2 Si 0.0000 0.5000 0.5000  2 I 2.63
3 Si 0.5000 0.0000 0.5000  2 I 2.63
4 B 0.5000 0.5000 0.0000  2 I 2.17
5 I 0.5000 0.5000 0.5000  2 B 2.17

Output
- D(E_F) (states/eV per atom) = 0.67
- magnetic moment (μB per cell) = 0.00
- SG = P4/mmm (123)
- E_form (uncorrected) (eV/atom) = 1.383


Material: YSiB2I
Method: DFT, PBE
State: optimized geometry

a b c (Å): 4.4736 4.4736 5.8069
angles (deg): 90.00 90.00 90.00
With the nearest neighbours (Å) after each atom.
Fractional coordinates of all 5 atoms:
1 Y 0.0000 0.0000 0.0000  2 I 2.90, 4 Si 3.16
2 Si 0.5000 0.5000 0.0000  4 Y 3.16
3 B 0.0000 0.5000 0.5000  2 I 2.24
4 B 0.5000 0.0000 0.5000  2 I 2.24
5 I 0.0000 0.0000 0.5000  4 B 2.24

Output
- D(E_F) (states/eV per atom) = 0.60
- magnetic moment (μB per cell) = 0.00
- SG = P4/mmm (123)
- E_form (uncorrected) (eV/atom) = 1.796